The following is a DFT calculation (PBE with a Hubbard U) of an optimized crystal structure of RbCr2AsF.

Space group ... P4/mmm (123)
Calculated volume ... 36.1 Å³/atom
Size of the total moment ... 9.00 Bohr magnetons per cell
E ... -24.17 eV per cell

a b c (Å): 4.8214 4.8214 7.7586
angles (deg): 90.00 90.00 90.00
Atoms (fractional coordinates):
Rb (0.0000, 0.0000, 0.0000)
Cr (0.0000, 0.5000, 0.5000)
Cr (0.5000, 0.0000, 0.5000)
As (0.5000, 0.5000, 0.5000)
F (0.5000, 0.5000, 0.0000)